[1]
ZrMnTl2, relaxed, DFT PBE-GGA; excess energy over the best structure of this formula in the dataset = 96 meV/atom
1.0
3.295 0.000 0.000
0.000 5.410 0.000
0.000 0.000 9.889
Zr Mn Tl
2 2 4
Cartesian
0.000 0.000 0.000 Zr
1.648 2.705 4.945 Zr
0.000 0.000 4.945 Mn
1.648 2.705 0.000 Mn
0.000 2.705 2.300 Tl
0.000 2.705 7.589 Tl
1.648 0.000 2.645 Tl
1.648 0.000 7.244 Tl

***

[2]
Zr2MnTl2, relaxed, DFT PBE-GGA; excess energy over the best structure of this formula in the dataset = 0 meV/atom
1.0
6.852 0.000 0.000
0.000 6.852 0.000
0.000 0.000 4.942
Zr Mn Tl
4 2 4
Cartesian
1.104 2.322 0.000 Zr
2.322 5.747 0.000 Zr
4.530 1.104 0.000 Zr
5.747 4.530 0.000 Zr
0.000 0.000 0.000 Mn
3.426 3.426 0.000 Mn
1.109 4.535 2.471 Tl
2.317 1.109 2.471 Tl
4.535 5.742 2.471 Tl
5.742 2.317 2.471 Tl

***

Energy, respectively: -5.337; -5.862 eV per atom.
N(E_F), respectively: 5.72; 7.94 states/eV/cell.
Formation energy from the elements, respectively: 276; 338 meV/atom.